No. 1
Here is a relaxed Lu2CdOs crystal from Alexandria via LeMat-Bulk. Energies are from PBEsol.

Summary:
- Raw total energy: -6.096 eV/atom
- Crystal system: cubic
- D(E_F): 1.76 states/eV/f.u.
- Total moment: 0.0 μB/cell
- Symmetry: No. 225

Cell lengths 4.834, 4.834, 4.834 Å; angles 60.00, 60.00, 60.00 degrees
Positions (direct):
Os 0.000 0.000 0.000
Cd 0.500 0.500 0.500
Lu 0.250 0.250 0.250
Lu 0.750 0.750 0.750


No. 2
Here is a relaxed LuCdPd2 crystal from Alexandria via LeMat-Bulk. Energies are from PBEsol.

Summary:
- Raw total energy: -5.268 eV/atom
- Crystal system: cubic
- D(E_F): 2.05 states/eV/f.u.
- Total moment: 0.0 μB/cell
- Symmetry: No. 225

Cell lengths 4.646, 4.646, 4.646 Å; angles 60.00, 60.00, 60.00 degrees
Positions (direct):
Pd 0.750 0.750 0.750
Pd 0.250 0.250 0.250
Lu 0.000 0.000 0.000
Cd 0.500 0.500 0.500